1.
A plane-wave DFT calculation with PBE-GGA was carried out for SiC2 after structural relaxation.

abc: 2.966 12.897 2.575
angles: 90.00 90.00 90.00
Fractional coordinates of all 12 atoms:
Si  0.000  0.133  0.250
Si  0.000  0.867  0.750
Si  0.500  0.367  0.750
Si  0.500  0.633  0.250
C  0.000  0.253  0.750
C  0.000  0.468  0.250
C  0.000  0.532  0.750
C  0.000  0.747  0.250
C  0.500  0.032  0.750
C  0.500  0.247  0.250
C  0.500  0.753  0.750
C  0.500  0.968  0.250

## Properties
- space group = Cmcm
- polymorph energy (0 for the lowest one) (meV per atom) = 1355
- uncorrected formation energy (eV per atom) = 1.687

=====

2.
A plane-wave DFT calculation with PBE-GGA was carried out for SiC after structural relaxation.

abc: 3.085 3.085 5.377
angles: 90.00 90.00 120.00
Fractional coordinates of all 4 atoms:
Si  0.000  0.000  0.222
Si  0.000  0.000  0.778
C  0.667  0.333  0.348
C  0.667  0.333  0.652

## Properties
- space group = P-6m2
- polymorph energy (0 for the lowest one) (meV per atom) = 351
- uncorrected formation energy (eV per atom) = 0.144

=====

3.
A plane-wave DFT calculation with PBE-GGA was carried out for Si5C7 after structural relaxation.

abc: 5.845 5.845 5.845
angles: 98.33 98.33 135.25
Fractional coordinates of all 12 atoms:
Si  0.000  0.000  0.000
Si  0.449  0.449  0.661
Si  0.449  0.789  0.000
Si  0.789  0.449  0.000
Si  0.789  0.789  0.339
C  0.237  0.597  0.640
C  0.345  0.845  0.500
C  0.417  0.417  0.000
C  0.597  0.237  0.640
C  0.597  0.956  0.360
C  0.845  0.345  0.500
C  0.956  0.597  0.360

## Properties
- space group = I4mm
- uncorrected formation energy (eV per atom) = 0.705

=====

4.
A plane-wave DFT calculation with PBE-GGA was carried out for SiC after structural relaxation.

abc: 2.863 2.863 2.582
angles: 90.00 90.00 120.00
Fractional coordinates of all 2 atoms:
Si  0.000  0.000  0.000
C  0.333  0.667  0.500

## Properties
- space group = P-6m2
- polymorph energy (0 for the lowest one) (meV per atom) = 1306
- uncorrected formation energy (eV per atom) = 1.099

=====

5.
A plane-wave DFT calculation with PBE-GGA was carried out for SiC after structural relaxation.

abc: 3.095 3.095 12.660
angles: 90.00 90.00 120.00
Fractional coordinates of all 10 atoms:
Si  0.000  0.000  0.000
Si  0.000  0.000  0.400
Si  0.333  0.667  0.200
Si  0.333  0.667  0.600
Si  0.667  0.333  0.800
C  0.000  0.000  0.150
C  0.000  0.000  0.551
C  0.333  0.667  0.350
C  0.333  0.667  0.750
C  0.667  0.333  0.950

## Properties
- space group = P3m1
- polymorph energy (0 for the lowest one) (meV per atom) = 1
- uncorrected formation energy (eV per atom) = -0.205

=====

6.
A plane-wave DFT calculation with PBE-GGA was carried out for SiC2 after structural relaxation.

abc: 2.782 4.929 5.243
angles: 90.00 90.00 90.00
Fractional coordinates of all 6 atoms:
Si  0.000  0.000  0.000
Si  0.500  0.500  0.500
C  0.000  0.373  0.000
C  0.000  0.627  0.000
C  0.500  0.127  0.500
C  0.500  0.873  0.500

## Properties
- space group = Immm
- polymorph energy (0 for the lowest one) (meV per atom) = 1296
- uncorrected formation energy (eV per atom) = 1.628

=====

no.,theoretical density (g/cm³),volume (Å³ per cell),raw total energy (eV/atom)
1,3.51,98,-6.27
2,3.00,44,-7.18
3,2.87,130,-6.94
4,3.63,18,-6.22
5,3.17,105,-7.53
6,2.41,72,-6.33